! GGA-PBE Pr6Ir2Cl3O, optimized geometry; values from VASP
&SYSTEM
  ibrav = 0, nat = 12, ntyp = 4
/
ATOMIC_SPECIES
Pr 140.91 Pr.upf
Ir 192.22 Ir.upf
Cl 35.45 Cl.upf
O 16.00 O.upf
CELL_PARAMETERS angstrom
3.453 -5.990 0.000
3.453 5.990 0.000
-2.335 0.000 7.572
ATOMIC_POSITIONS angstrom
Pr 1.078 1.879 1.541
Pr -0.179 0.000 6.040
Pr 1.078 -1.879 1.541
Pr 3.493 1.879 6.032
Pr 4.750 0.000 1.533
Pr 3.493 -1.879 6.032
Ir 3.453 1.990 0.000
Ir 3.453 -1.990 0.000
Cl 2.286 3.880 3.786
Cl 2.286 0.000 3.786
Cl 2.286 -3.880 3.786
O 0.000 0.000 0.000
! - DFT total energy (eV per atom) = -6.172
! - magnetic moment (μB/f.u.) = 0.8
! - symmetry = C2/m, No. 12

! GGA-PBE IrPtCl2O, optimized geometry; values from VASP
&SYSTEM
  ibrav = 0, nat = 5, ntyp = 4
/
ATOMIC_SPECIES
Ir 192.22 Ir.upf
Pt 195.08 Pt.upf
Cl 35.45 Cl.upf
O 16.00 O.upf
CELL_PARAMETERS angstrom
4.552 0.000 0.000
0.000 4.552 0.000
0.000 0.000 5.135
ATOMIC_POSITIONS angstrom
Ir 0.000 0.000 0.000
Pt 0.000 0.000 2.567
Cl 0.000 2.276 0.000
Cl 2.276 0.000 0.000
O 2.276 2.276 2.567
! - DFT total energy (eV per atom) = -3.519
! - magnetic moment (μB/f.u.) = 0.0
! - symmetry = P4/mmm, No. 123

! GGA-PBE IrSCl2O, optimized geometry; values from VASP
&SYSTEM
  ibrav = 0, nat = 5, ntyp = 4
/
ATOMIC_SPECIES
Ir 192.22 Ir.upf
S 32.06 S.upf
Cl 35.45 Cl.upf
O 16.00 O.upf
CELL_PARAMETERS angstrom
4.826 0.000 0.000
0.000 4.826 0.000
0.000 0.000 4.426
ATOMIC_POSITIONS angstrom
Ir 0.000 0.000 0.000
S 0.000 0.000 2.213
Cl 0.000 2.413 0.000
Cl 2.413 0.000 0.000
O 2.413 2.413 2.213
! - DFT total energy (eV per atom) = -3.487
! - magnetic moment (μB/f.u.) = 0.0
! - symmetry = P4/mmm, No. 123
! - offset from the most stable computed form (meV per atom) = 0.0

no.,formation energy (no corrections) (meV per atom)
1,-1431
2,1191
3,841